First-principles (PBE-GGA) data for a relaxed Zn2AsRu crystal, as listed in the Alexandria database.

Unit cell a=7.3157 b=7.3157 c=4.9288 alpha=90.00 beta=90.00 gamma=90.00
Space group I-42d (No. 122)
One atom of each set of equivalent atoms:
Zn 0.2485 0.2500 0.1250 x8
As 0.0000 0.0000 0.5000 x4
Ru 0.0000 0.0000 0.0000 x4

## Properties
For the energy of formation from the pure elements, the calculation gives 0.323 eV/atom. The calculation puts the total energy at -3.796 eV per atom.